No. 1
# LiNbP2

Crystalline LiNbP2 at its relaxed geometry (GGA-PBE, Alexandria via LeMat-Bulk).

Geometry as POSCAR:
```
LiNbP2
1.0
6.216 0.000 0.000
0.000 6.216 0.000
0.000 0.000 6.216
Li Nb P
4 4 8
Cartesian
0.000 0.000 0.000
0.000 3.108 3.108
3.108 0.000 3.108
3.108 3.108 0.000
0.000 0.000 3.108
0.000 3.108 0.000
3.108 0.000 0.000
3.108 3.108 3.108
1.554 1.554 1.554
1.554 1.554 4.662
1.554 4.662 1.554
1.554 4.662 4.662
4.662 1.554 1.554
4.662 1.554 4.662
4.662 4.662 1.554
4.662 4.662 4.662
```

Output
polymorph energy (0 for the lowest one)	302	meV per atom
formation enthalpy at 0 K	-265	meV per atom
uncorrected energy	-5.966	eV/atom

No. 2
# PtAuCl

Crystalline PtAuCl at its relaxed geometry (GGA-PBE, Alexandria via LeMat-Bulk).

Geometry as POSCAR:
```
PtAuCl
1.0
13.160 0.000 0.000
0.000 3.050 0.000
0.000 0.000 5.650
Pt Au Cl
4 4 4
Cartesian
2.092 0.000 0.000
2.092 1.525 2.825
11.068 0.000 0.000
11.068 1.525 2.825
0.000 0.000 3.737
0.000 1.525 0.912
6.580 0.000 5.408
6.580 1.525 2.583
3.956 0.000 2.654
3.956 1.525 5.479
9.203 0.000 2.654
9.203 1.525 5.479
```

Output
polymorph energy (0 for the lowest one)	6	meV per atom
E_form (uncorrected)	0.316	eV per atom
uncorrected energy	-3.406	eV/atom

No. 3
# CaHo

Crystalline CaHo at its relaxed geometry (GGA-PBE, Alexandria via LeMat-Bulk).

Geometry as POSCAR:
```
CaHo
1.0
3.585 0.000 0.000
0.000 5.260 0.000
-0.011 0.000 7.529
Ca Ho
2 2
Cartesian
0.896 1.315 1.014
2.678 3.945 6.514
0.889 1.315 4.570
2.684 3.945 2.959
```

Output
polymorph energy (0 for the lowest one)	0	meV per atom
formation enthalpy at 0 K	131	meV per atom
uncorrected energy	-3.158	eV/atom

No. 4
# CaRe2Ni

Crystalline CaRe2Ni at its relaxed geometry (GGA-PBE, Alexandria via LeMat-Bulk).

Geometry as POSCAR:
```
CaRe2Ni
1.0
3.172 0.000 0.000
0.000 3.172 0.000
0.000 0.000 6.981
Ca Re Ni
1 2 1
Cartesian
0.000 0.000 0.000
1.586 1.586 2.298
1.586 1.586 4.684
0.000 0.000 3.491
```

Output
polymorph energy (0 for the lowest one)	306	meV per atom
formation enthalpy at 0 K	573	meV per atom
uncorrected energy	-7.597	eV/atom

No. 5
# PrDyMgHg

Crystalline PrDyMgHg at its relaxed geometry (GGA-PBE, Alexandria via LeMat-Bulk).

Geometry as POSCAR:
```
PrDyMgHg
1.0
3.803 0.000 0.000
0.000 3.803 0.000
0.000 0.000 7.676
Pr Dy Mg Hg
1 1 1 1
Cartesian
0.000 0.000 0.000
0.000 0.000 3.793
1.902 1.902 5.643
1.902 1.902 2.098
```

Output
polymorph energy (0 for the lowest one)	0	meV per atom
formation enthalpy at 0 K	-283	meV per atom
uncorrected energy	-3.102	eV/atom

No. 6
# Sm4Co2Hg5

Crystalline Sm4Co2Hg5 at its relaxed geometry (GGA-PBE, Alexandria via LeMat-Bulk).

Geometry as POSCAR:
```
Sm4Co2Hg5
1.0
7.670 0.000 0.000
0.000 3.686 0.000
-0.728 0.000 9.370
Sm Co Hg
4 2 5
Cartesian
1.114 0.000 3.159
1.006 0.000 8.758
5.936 0.000 0.612
5.828 0.000 6.211
0.414 1.843 1.181
6.528 1.843 8.189
0.786 1.843 6.028
3.284 1.843 1.560
3.471 1.843 4.685
3.657 1.843 7.810
6.156 1.843 3.342
```

Output
formation enthalpy at 0 K	-334	meV per atom
uncorrected energy	-3.479	eV/atom

No. 7
# Cs2MgPdF6

Crystalline Cs2MgPdF6 at its relaxed geometry (GGA-PBE, Alexandria via LeMat-Bulk).

Geometry as POSCAR:
```
Cs2MgPdF6
1.0
3.135 1.810 10.408
-3.135 1.810 10.408
0.000 -3.619 10.408
Cs Mg Pd F
4 2 2 12
Cartesian
0.000 0.000 3.974
0.000 0.000 8.985
0.000 0.000 22.240
0.000 0.000 27.251
0.000 0.000 12.701
0.000 0.000 18.524
0.000 0.000 0.000
0.000 0.000 15.612
-1.353 -0.781 14.062
0.000 -1.738 11.655
-1.505 0.869 11.655
-1.505 -0.869 19.570
0.000 -1.562 17.163
-1.353 0.781 17.163
1.353 -0.781 14.062
0.000 1.562 14.062
1.505 0.869 11.655
1.505 -0.869 19.570
0.000 1.738 19.570
1.353 0.781 17.163
```

Output
E_form (uncorrected)	-2.518	eV per atom
uncorrected energy	-4.490	eV/atom

No. 8
# YPu2USe4

Crystalline YPu2USe4 at its relaxed geometry (GGA-PBE, Alexandria via LeMat-Bulk).

Geometry as POSCAR:
```
YPu2USe4
1.0
7.083 0.000 0.000
0.000 4.054 0.000
-2.325 0.000 6.811
Y Pu U Se
1 2 1 4
Cartesian
0.000 0.000 0.000
-1.162 2.027 3.406
2.379 0.000 3.406
3.542 2.027 0.000
1.182 2.027 1.679
0.017 0.000 5.124
4.741 0.000 1.687
3.577 2.027 5.133
```

Output
E_form (uncorrected)	-1.444	eV per atom
uncorrected energy	-8.989	eV/atom

No. 9
# CeNdCuPt

Crystalline CeNdCuPt at its relaxed geometry (GGA-PBE, Alexandria via LeMat-Bulk).

Geometry as POSCAR:
```
CeNdCuPt
1.0
7.163 0.000 0.000
0.000 7.163 0.000
0.000 0.000 7.163
Ce Nd Cu Pt
4 4 4 4
Cartesian
0.000 0.000 0.000
0.000 3.582 3.582
3.582 0.000 3.582
3.582 3.582 0.000
0.000 0.000 3.582
0.000 3.582 0.000
3.582 0.000 0.000
3.582 3.582 3.582
1.791 1.791 5.372
1.791 5.372 1.791
5.372 1.791 1.791
5.372 5.372 5.372
1.791 1.791 1.791
1.791 5.372 5.372
5.372 1.791 5.372
5.372 5.372 1.791
```

Output
polymorph energy (0 for the lowest one)	64	meV per atom
formation enthalpy at 0 K	-552	meV per atom
uncorrected energy	-5.762	eV/atom

No. 10
# KRu2

Crystalline KRu2 at its relaxed geometry (GGA-PBE, Alexandria via LeMat-Bulk).

Geometry as POSCAR:
```
KRu2
1.0
6.441 0.000 0.000
0.000 6.441 0.000
0.000 0.000 6.441
K Ru
4 8
Cartesian
0.000 0.000 0.000
0.000 3.220 3.220
3.220 0.000 3.220
3.220 3.220 0.000
1.610 1.610 1.610
1.610 1.610 4.830
1.610 4.830 1.610
1.610 4.830 4.830
4.830 1.610 1.610
4.830 1.610 4.830
4.830 4.830 1.610
4.830 4.830 4.830
```

Output
formation enthalpy at 0 K	2724	meV per atom
uncorrected energy	-3.826	eV/atom

No. 11
# CaCeTlCl6

Crystalline CaCeTlCl6 at its relaxed geometry (GGA-PBE, Alexandria via LeMat-Bulk).

Geometry as POSCAR:
```
CaCeTlCl6
1.0
7.286 0.000 0.000
-3.643 6.310 0.000
0.000 0.000 13.680
Ca Ce Tl Cl
2 2 2 12
Cartesian
0.000 4.206 3.420
3.643 2.103 10.260
0.000 4.206 10.260
3.643 2.103 3.420
0.000 0.000 0.000
0.000 0.000 6.840
-1.338 2.336 1.891
-2.288 3.983 4.949
1.338 2.336 4.949
-0.951 6.300 1.891
2.692 0.010 8.732
1.355 2.327 11.789
2.288 3.983 1.891
0.951 6.300 4.949
4.593 0.010 11.789
2.305 3.973 8.732
5.931 2.327 8.732
4.981 3.973 11.789
```

Output
E_form (uncorrected)	-2.022	eV per atom
uncorrected energy	-4.397	eV/atom

No. 12
# TlAgSnPb

Crystalline TlAgSnPb at its relaxed geometry (GGA-PBE, Alexandria via LeMat-Bulk).

Geometry as POSCAR:
```
TlAgSnPb
1.0
7.555 0.000 0.000
0.000 7.555 0.000
0.000 0.000 7.555
Tl Ag Sn Pb
4 4 4 4
Cartesian
0.000 0.000 0.000
0.000 3.777 3.777
3.777 0.000 3.777
3.777 3.777 0.000
1.889 1.889 5.666
1.889 5.666 1.889
5.666 1.889 1.889
5.666 5.666 5.666
1.889 1.889 1.889
1.889 5.666 5.666
5.666 1.889 5.666
5.666 5.666 1.889
0.000 0.000 3.777
0.000 3.777 0.000
3.777 0.000 0.000
3.777 3.777 3.777
```

Output
polymorph energy (0 for the lowest one)	85	meV per atom
formation enthalpy at 0 K	111	meV per atom
uncorrected energy	-3.122	eV/atom

No. 13
# CaHoAl2Ag5

Crystalline CaHoAl2Ag5 at its relaxed geometry (GGA-PBE, Alexandria via LeMat-Bulk).

Geometry as POSCAR:
```
CaHoAl2Ag5
1.0
4.513 0.000 0.000
0.000 4.513 0.000
0.000 0.000 9.099
Ca Ho Al Ag
1 1 2 5
Cartesian
0.000 0.000 0.000
0.000 0.000 4.550
2.256 2.256 3.299
2.256 2.256 5.800
0.000 2.256 2.060
0.000 2.256 7.039
2.256 0.000 2.060
2.256 0.000 7.039
2.256 2.256 0.000
```

Output
formation enthalpy at 0 K	-208	meV per atom
uncorrected energy	-3.355	eV/atom

No. 14
# ZrAlIr2

Crystalline ZrAlIr2 at its relaxed geometry (GGA-PBE, Alexandria via LeMat-Bulk).

Geometry as POSCAR:
```
ZrAlIr2
1.0
3.016 0.000 0.000
0.000 3.016 0.000
0.000 0.000 6.957
Zr Al Ir
1 1 2
Cartesian
0.000 0.000 0.000
0.000 0.000 3.478
1.508 1.508 1.943
1.508 1.508 5.014
```

Output
formation enthalpy at 0 K	-885	meV per atom
uncorrected energy	-8.388	eV/atom

No. 15
# CsTiOsO2

Crystalline CsTiOsO2 at its relaxed geometry (GGA-PBE, Alexandria via LeMat-Bulk).

Geometry as POSCAR:
```
CsTiOsO2
1.0
3.844 0.000 0.000
0.000 3.844 0.000
0.000 0.000 8.344
Cs Ti Os O
1 1 1 2
Cartesian
0.000 0.000 0.000
0.000 0.000 4.172
1.922 1.922 0.000
0.000 1.922 4.172
1.922 0.000 4.172
```

Output
E_form (uncorrected)	0.208	eV per atom
uncorrected energy	-5.771	eV/atom

No. 16
# RbTaCu2Ge

Crystalline RbTaCu2Ge at its relaxed geometry (GGA-PBE, Alexandria via LeMat-Bulk).

Geometry as POSCAR:
```
RbTaCu2Ge
1.0
4.680 0.000 0.000
0.000 4.680 0.000
0.000 0.000 5.413
Rb Ta Cu Ge
1 1 2 1
Cartesian
0.000 0.000 0.000
2.340 2.340 2.707
0.000 2.340 0.000
2.340 0.000 0.000
0.000 0.000 2.707
```

Output
formation enthalpy at 0 K	2345	meV per atom
uncorrected energy	-2.781	eV/atom

No. 17
# V4NiPt12

Crystalline V4NiPt12 at its relaxed geometry (GGA-PBE, Alexandria via LeMat-Bulk).

Geometry as POSCAR:
```
V4NiPt12
1.0
-4.055 4.055 4.055
4.055 -4.055 4.055
4.055 4.055 -4.055
V Ni Pt
4 1 12
Cartesian
2.027 2.027 -2.027
2.027 -2.027 2.027
-2.027 2.027 2.027
2.027 2.027 2.027
0.000 0.000 0.000
2.303 0.000 0.000
5.807 0.000 0.000
4.055 2.027 0.000
4.055 0.000 2.027
0.000 2.303 0.000
0.000 0.000 2.303
2.027 4.055 0.000
2.027 0.000 4.055
0.000 5.807 0.000
0.000 0.000 5.807
0.000 4.055 2.027
0.000 2.027 4.055
```

Output
formation enthalpy at 0 K	-142	meV per atom
uncorrected energy	-6.892	eV/atom

No. 18
# PtNCl2

Crystalline PtNCl2 at its relaxed geometry (GGA-PBE, Alexandria via LeMat-Bulk).

Geometry as POSCAR:
```
PtNCl2
1.0
6.496 0.000 0.000
0.000 6.496 0.000
0.000 0.000 12.654
Pt N Cl
4 4 8
Cartesian
0.000 0.000 0.000
0.000 3.248 3.163
3.248 0.000 9.490
3.248 3.248 6.327
0.000 0.000 6.327
0.000 3.248 9.490
3.248 0.000 3.163
3.248 3.248 0.000
0.618 1.624 1.582
1.624 3.866 4.745
1.624 5.878 11.072
2.630 1.624 7.909
3.866 4.872 7.909
4.872 0.618 11.072
4.872 2.630 4.745
5.878 4.872 1.582
```

Output
polymorph energy (0 for the lowest one)	0	meV per atom
E_form (uncorrected)	1.332	eV per atom
uncorrected energy	-3.183	eV/atom

No. 19
# PmPrH8Rh2

Crystalline PmPrH8Rh2 at its relaxed geometry (GGA-PBE, Alexandria via LeMat-Bulk).

Geometry as POSCAR:
```
PmPrH8Rh2
1.0
2.455 1.417 6.061
-2.455 1.417 6.061
0.000 -2.835 6.061
Pm Pr H Rh
1 1 8 2
Cartesian
0.000 0.000 0.000
0.000 0.000 9.091
-0.985 -0.645 7.071
0.000 0.000 3.182
-1.051 0.530 11.112
0.066 -1.176 11.112
-0.066 1.175 7.071
1.051 -0.530 7.071
0.000 0.000 15.001
0.985 0.645 11.112
0.000 0.000 4.802
0.000 0.000 13.380
```

Output
uncorrected energy	-4.546	eV/atom

No. 20
# NaZnH4

Crystalline NaZnH4 at its relaxed geometry (GGA-PBE, Alexandria via LeMat-Bulk).

Geometry as POSCAR:
```
NaZnH4
1.0
4.513 0.000 0.000
0.000 4.374 0.000
0.000 0.000 5.937
Na Zn H
2 2 8
Cartesian
1.128 0.000 1.187
3.385 0.000 4.750
1.128 2.187 3.824
3.385 2.187 2.113
0.000 1.037 2.969
0.000 3.337 2.969
1.128 0.977 4.997
1.128 3.397 4.997
2.257 1.037 2.969
2.257 3.337 2.969
3.385 0.977 0.940
3.385 3.397 0.940
```

Output
uncorrected energy	-2.454	eV/atom